This record from Alexandria describes a relaxed structure of VCu2Ni4. The functional is PBE.

Lattice parameters (Å, degrees): 4.247 4.247 11.682 90.00 90.00 90.00
Space group I4/mmm (No. 139)
Symmetry-distinct sites (fractional):
V 0.000 0.000 0.000
Cu 0.000 0.000 0.390
Ni 0.000 0.000 0.185
Ni 0.000 0.500 0.000

Properties
D(E_F)	9.34	states/eV per cell
total magnetization	0.000	μB per atom
DFT formation energy	83.7	kJ per mole of atoms